{"formula": "NpBiSbO6", "functional": "GGA-PBE", "state": "optimized geometry", "spacegroup": "P4_2nm", "e_form_raw_ev_per_atom": -1.933, "magnetic_moment_mub_per_atom": 0.111, "lattice": [[5.178, 0.000, 0.000], [0.000, 5.178, 0.000], [0.000, 0.000, 10.960]], "species": ["Np", "Np", "Bi", "Bi", "Sb", "Sb", "O", "O", "O", "O", "O", "O", "O", "O", "O", "O", "O", "O"], "frac_coords": [[0.000, 0.000, 0.000], [0.500, 0.500, 0.500], [0.000, 0.000, 0.337], [0.500, 0.500, 0.837], [0.000, 0.000, 0.641], [0.500, 0.500, 0.141], [0.185, 0.185, 0.867], [0.188, 0.188, 0.136], [0.188, 0.188, 0.503], [0.312, 0.688, 0.003], [0.312, 0.688, 0.636], [0.315, 0.685, 0.367], [0.685, 0.315, 0.367], [0.688, 0.312, 0.003], [0.688, 0.312, 0.636], [0.812, 0.812, 0.136], [0.812, 0.812, 0.503], [0.815, 0.815, 0.867]]}